Compound: SrNdWN4
Source: the Alexandria database
Functional: PBE
Structure: relaxed

Geometry as POSCAR:
```
SrNdWN4
1.0
3.9836 0.0000 0.0000
0.0000 3.9836 0.0000
-1.9918 -1.9918 6.4254
Sr Nd W N
1 1 1 4
direct
0.6482 0.6482 0.2965 Sr
0.3594 0.3594 0.7187 Nd
0.0091 0.0091 0.0182 W
0.9929 0.4929 0.9859 N
0.4929 0.9929 0.9859 N
0.8382 0.8382 0.6765 N
0.1592 0.1592 0.3184 N
```

Output
Formation energy from raw total energies in eV/atom: -0.754